The following is a GGA-PBE calculation of a relaxed HfUPa2 crystal, from Alexandria via LeMat-Bulk.

Computed properties:
- distance to the lowest polymorph of the same formula (meV per atom) = 87
- DFT total energy (eV per atom) = -9.822

Cell: 3.0716 3.0716 11.5010 Å, 82.33 82.33 60.00°
Last column: magnetic moment on the atom in μB.
Fractional coordinates of all 4 atoms:
U1 0.0000 0.0000 0.0000  0.98
Pa1 0.9154 0.9154 0.2539  0.01
Pa2 0.0846 0.0846 0.7461  0.01
Hf1 0.5000 0.5000 0.5000  0.01